No. 1
Material: Ba2BeIr
Method: DFT, GGA-PBE
State: relaxed

Cell: 11.734 11.734 4.419 Å, 90.00 90.00 90.00°
Space group I-42d (No. 122)
Unique sites:
Ba 0.060 0.250 0.125 [8 per cell]
Be 0.000 0.000 0.500 [4 per cell]
Ir 0.000 0.000 0.000 [4 per cell]



No. 2
Material: Ba4BeIr
Method: DFT, GGA-PBE
State: relaxed

Cell: 9.599 9.599 9.599 Å, 90.00 90.00 90.00°
Space group F-43m (No. 216)
Unique sites:
Ba 0.124 0.124 0.376 [16 per cell]
Be 0.000 0.000 0.000 [4 per cell]
Ir 0.250 0.250 0.750 [4 per cell]



No. 3
Material: BaBe2Ir
Method: DFT, GGA-PBE
State: relaxed

**Energy above the lowest structure with this stoichiometry**: 1.2130 eV per atom

Cell: 6.774 6.774 6.774 Å, 90.00 90.00 90.00°
Space group F-43m (No. 216)
Unique sites:
Ba 0.000 0.000 0.000 [4 per cell]
Be 0.000 0.000 0.500 [4 per cell]
Be 0.250 0.250 0.250 [4 per cell]
Ir 0.250 0.250 0.750 [4 per cell]



No. 4
Material: BaBeIr2
Method: DFT, GGA-PBE
State: relaxed

Cell: 2.919 3.630 7.188 Å, 90.00 90.00 90.00°
Space group Pmm2 (No. 25)
Unique sites:
Ba 0.000 0.000 0.000 [1 per cell]
Be 0.500 0.500 0.363 [1 per cell]
Ir 0.000 0.000 0.472 [1 per cell]
Ir 0.500 0.500 0.672 [1 per cell]



No. 5
Material: BaBe2Ir
Method: DFT, GGA-PBE
State: relaxed

**Energy above the lowest structure with this stoichiometry**: 1.2860 eV per atom

Cell: 4.268 4.268 4.299 Å, 90.00 90.00 90.00°
Space group P4/mmm (No. 123)
Unique sites:
Ba 0.000 0.000 0.000 [1 per cell]
Be 0.000 0.500 0.500 [2 per cell]
Ir 0.500 0.500 0.000 [1 per cell]



No. 6
Material: BaBe2Ir
Method: DFT, GGA-PBE
State: relaxed

**Energy above the lowest structure with this stoichiometry**: 1.1305 eV per atom

Cell: 5.949 7.519 3.039 Å, 90.00 95.13 90.00°
Space group C2/m (No. 12)
Unique sites:
Ba 0.000 0.000 0.000 [2 per cell]
Be 0.250 0.250 0.500 [4 per cell]
Ir 0.000 0.500 0.000 [2 per cell]



No. 7
Material: BaBeIr2
Method: DFT, GGA-PBE
State: relaxed

Cell: 2.958 5.432 10.002 Å, 90.00 90.00 90.00°
Space group Imm2 (No. 44)
Unique sites:
Ba 0.000 0.000 0.000 [2 per cell]
Be 0.000 0.500 0.197 [2 per cell]
Ir 0.000 0.000 0.520 [2 per cell]
Ir 0.000 0.500 0.802 [2 per cell]



No. 8
Material: BaBe2Ir
Method: DFT, GGA-PBE
State: relaxed

**Energy above the lowest structure with this stoichiometry**: 0.9630 eV per atom

Cell: 6.590 6.590 6.590 Å, 90.00 90.00 90.00°
Space group Fm-3m (No. 225)
Unique sites:
Ba 0.000 0.000 0.000 [4 per cell]
Be 0.250 0.250 0.250 [8 per cell]
Ir 0.000 0.000 0.500 [4 per cell]



No. 9
Material: BaBeIr
Method: DFT, GGA-PBE
State: relaxed

**Energy above the lowest structure with this stoichiometry**: 1.0392 eV per atom

Cell: 6.710 6.710 6.710 Å, 90.00 90.00 90.00°
Space group F-43m (No. 216)
Unique sites:
Ba 0.000 0.000 0.000 [4 per cell]
Be 0.000 0.000 0.500 [4 per cell]
Ir 0.250 0.250 0.750 [4 per cell]



No. 10
Material: BaBe2Ir
Method: DFT, GGA-PBE
State: relaxed

**Energy above the lowest structure with this stoichiometry**: 1.1632 eV per atom

Cell: 4.760 4.760 2.967 Å, 90.00 90.00 90.00°
Space group P4/mmm (No. 123)
Unique sites:
Ba 0.000 0.000 0.000 [1 per cell]
Be 0.000 0.500 0.500 [2 per cell]
Ir 0.500 0.500 0.000 [1 per cell]



No. 11
Material: BaBeIr
Method: DFT, GGA-PBE
State: relaxed

**Energy above the lowest structure with this stoichiometry**: 0.9785 eV per atom

Cell: 6.466 6.466 6.466 Å, 90.00 90.00 90.00°
Space group F-43m (No. 216)
Unique sites:
Ba 0.000 0.000 0.000 [4 per cell]
Be 0.250 0.250 0.250 [4 per cell]
Ir 0.000 0.000 0.500 [4 per cell]



No. 12
Material: Ba2BeIr
Method: DFT, GGA-PBE
State: relaxed

Cell: 7.947 4.595 8.189 Å, 90.00 108.99 90.00°
Space group C2/m (No. 12)
Unique sites:
Ba 0.237 0.000 0.212 [4 per cell]
Be 0.000 0.000 0.500 [2 per cell]
Ir 0.000 0.500 0.000 [2 per cell]



No. 13
Material: BaBeIr2
Method: DFT, GGA-PBE
State: relaxed

Cell: 3.0826 3.0826 25.4895 Å, 90.00 90.00 120.00°
Space group R-3m (No. 166, hexagonal axes)
Unique sites:
Ba 0.0000 0.0000 0.0000 [3 per cell]
Be 0.0000 0.0000 0.5000 [3 per cell]
Ir 0.0000 0.0000 0.2248 [6 per cell]



No. 14
Material: BaBe2Ir
Method: DFT, GGA-PBE
State: relaxed

**Energy above the lowest structure with this stoichiometry**: 1.2774 eV per atom

Cell: 3.230 4.539 5.128 Å, 90.00 90.00 90.00°
Space group Pmmm (No. 47)
Unique sites:
Ba 0.000 0.000 0.000 [1 per cell]
Be 0.000 0.500 0.500 [1 per cell]
Be 0.500 0.500 0.000 [1 per cell]
Ir 0.500 0.000 0.500 [1 per cell]



No. 15
Material: BaBeIr
Method: DFT, GGA-PBE
State: relaxed

**Energy above the lowest structure with this stoichiometry**: 0.3631 eV per atom

Cell: 3.158 3.381 11.378 Å, 90.00 90.00 90.00°
Space group Imm2 (No. 44)
Unique sites:
Ba 0.000 0.000 0.000 [2 per cell]
Be 0.000 0.000 0.735 [2 per cell]
Ir 0.000 0.000 0.269 [2 per cell]



Number 1: final energy -4.099 eV per atom, ΔE_f 0.04 eV/f.u.. Number 2: final energy -2.163 eV per atom, ΔE_f 7.30 eV/f.u.. Number 3: final energy -3.578 eV per atom, ΔE_f 3.92 eV/f.u.. Number 4: final energy -5.563 eV per atom, ΔE_f 1.12 eV/f.u.. Number 5: final energy -3.505 eV per atom, ΔE_f 4.22 eV/f.u.. Number 6: final energy -3.660 eV per atom, ΔE_f 3.59 eV/f.u.. Number 7: final energy -5.256 eV per atom, ΔE_f 2.35 eV/f.u.. Number 8: final energy -3.828 eV per atom, ΔE_f 2.92 eV/f.u.. Number 9: final energy -4.147 eV per atom, ΔE_f 2.07 eV/f.u.. Number 10: final energy -3.628 eV per atom, ΔE_f 3.73 eV/f.u.. Number 11: final energy -4.207 eV per atom, ΔE_f 1.89 eV/f.u.. Number 12: final energy -3.542 eV per atom, ΔE_f 2.26 eV/f.u.. Number 13: final energy -5.422 eV per atom, ΔE_f 1.68 eV/f.u.. Number 14: final energy -3.513 eV per atom, ΔE_f 4.18 eV/f.u.. Number 15: final energy -4.823 eV per atom, ΔE_f 0.04 eV/f.u..